No. 1
A relaxed structure of TiMn2AlH, computed with GGA-PBE.

Unit cell a=3.896 b=3.896 c=3.689 alpha=90.00 beta=90.00 gamma=90.00
Positions (direct):
H: 0.000 0.000 0.000
Mn: 0.000 0.500 0.000
Mn: 0.500 0.000 0.000
Al: 0.500 0.500 0.500
Ti: 0.000 0.000 0.500

Computed properties:
E: -34.59 eV per cell

No. 2
A relaxed structure of Mn2AlTlH, computed with GGA-PBE.

Unit cell a=5.249 b=3.538 c=5.249 alpha=90.00 beta=90.00 gamma=90.00
Positions (direct):
H: 0.000 0.500 0.000
Tl: 0.000 0.000 0.000
Mn: 0.000 0.000 0.500
Mn: 0.500 0.000 0.000
Al: 0.500 0.500 0.500

Computed properties:
E: -22.66 eV per cell

No. 3
A relaxed structure of UMn2AlH6, computed with GGA-PBE.

Unit cell a=4.258 b=4.258 c=5.616 alpha=67.72 beta=67.72 gamma=60.00
Positions (direct):
U: 0.000 0.000 0.000
Mn: 0.794 0.794 0.617
Mn: 0.206 0.206 0.383
Al: 0.500 0.500 0.500
H: 0.066 0.556 0.821
H: 0.556 0.066 0.821
H: 0.444 0.444 0.179
H: 0.934 0.444 0.179
H: 0.444 0.934 0.179
H: 0.556 0.556 0.821

Computed properties:
E: -55.06 eV per cell

No. 4
A relaxed structure of Y2MnAlH, computed with GGA-PBE.

Unit cell a=4.915 b=4.915 c=3.787 alpha=90.00 beta=90.00 gamma=90.00
Positions (direct):
Y: 0.000 0.500 0.000
Y: 0.500 0.000 0.000
H: 0.000 0.000 0.000
Mn: 0.000 0.000 0.500
Al: 0.500 0.500 0.500

Computed properties:
E: -30.25 eV per cell

No. 5
A relaxed structure of Mn2AlZnH, computed with GGA-PBE.

Unit cell a=3.786 b=3.786 c=3.859 alpha=90.00 beta=90.00 gamma=90.00
Positions (direct):
H: 0.000 0.000 0.000
Zn: 0.000 0.000 0.500
Mn: 0.000 0.500 0.000
Mn: 0.500 0.000 0.000
Al: 0.500 0.500 0.500

Computed properties:
energy relative to the lowest polymorph listed for this composition: 0.0000 eV/atom

No. 6
A relaxed structure of Al2MoH, computed with GGA-PBE.

Unit cell a=4.285 b=4.285 c=4.285 alpha=60.00 beta=60.00 gamma=60.00
Positions (direct):
H: 0.000 0.000 0.000
Mo: 0.500 0.500 0.500
Al: 0.250 0.250 0.250
Al: 0.750 0.750 0.750

Computed properties:
energy relative to the lowest polymorph listed for this composition: 0.6294 eV/atom

Copy entry 1 word for word.
A relaxed structure of TiMn2AlH, computed with GGA-PBE.

Unit cell a=3.896 b=3.896 c=3.689 alpha=90.00 beta=90.00 gamma=90.00
Positions (direct):
H: 0.000 0.000 0.000
Mn: 0.000 0.500 0.000
Mn: 0.500 0.000 0.000
Al: 0.500 0.500 0.500
Ti: 0.000 0.000 0.500

Computed properties:
E: -34.59 eV per cell